(1)
Entry from Alexandria: a geometry-optimized Ce2PrGe2Pd2 structure (PBE).

```
Ce2PrGe2Pd2
1.0
4.448 0.000 0.000
2.224 3.852 0.000
2.224 1.284 8.941
Ge Pd Pr Ce
2 2 1 2
direct
0.740 0.740 0.781 Ge
0.260 0.260 0.219 Ge
0.585 0.585 0.244 Pd
0.415 0.415 0.756 Pd
0.000 0.000 0.000 Pr
0.860 0.860 0.419 Ce
0.140 0.140 0.581 Ce
```

***

(2)
Entry from Alexandria: a geometry-optimized Pr4Nd9Mg11 structure (PBE).

```
Pr4Nd9Mg11
1.0
3.763 0.000 0.000
0.000 13.305 -5.356
0.000 0.304 14.340
Mg Nd Pr
11 9 4
direct
0.000 0.410 0.055 Mg
0.000 0.945 0.590 Mg
0.000 0.055 0.410 Mg
0.000 0.590 0.945 Mg
0.000 0.360 0.640 Mg
0.000 0.224 0.224 Mg
0.000 0.176 0.824 Mg
0.000 0.776 0.776 Mg
0.000 0.824 0.176 Mg
0.000 0.640 0.360 Mg
0.000 0.000 0.000 Mg
0.500 0.620 0.147 Nd
0.500 0.147 0.620 Nd
0.500 0.207 0.025 Nd
0.500 0.975 0.793 Nd
0.500 0.500 0.500 Nd
0.500 0.380 0.853 Nd
0.500 0.025 0.207 Nd
0.500 0.793 0.975 Nd
0.500 0.853 0.380 Nd
0.500 0.745 0.570 Pr
0.500 0.255 0.430 Pr
0.500 0.430 0.255 Pr
0.500 0.570 0.745 Pr
```

***

| no. | N(E_F) (states/eV per cell) | formation enthalpy at 0 K (meV/atom) |
| --- | --- | --- |
| 1 | 8.682 | -782 |
| 2 | 22.734 | -59 |